K2CdFe (PBE, relaxed); DOS(E_F) = 6.72 states/eV/cell; space group = I-42d; energy relative to the elements = 889 meV per atom
1.0
-0.824 -1.388 4.285
4.467 -0.810 0.597
3.359 10.324 6.437
K Fe Cd
4 2 2
direct
0.375 0.381 0.750
0.619 0.125 0.250
0.131 0.625 0.250
0.875 0.869 0.750
0.250 0.750 0.500
0.500 0.500 0.000
0.750 0.250 0.500
0.000 0.000 0.000